Entry 1:
The following is a PBE calculation of a relaxed TeMoRu crystal, from Alexandria.

Cell: 4.8257 4.8257 4.8257 Å, 142.34 130.55 63.78°
Sites, in units of the cell vectors:
Mo  0.0074  0.0074  0.0000
Te  0.3341  0.3341  0.0000
Ru  0.6585  0.6585  0.0000

## Properties
N(E_F) = 2.56 states/eV per cell
E_form (uncorrected) = 123 kJ/mol of formula units
magnetic moment = 0.00 Bohr magnetons per cell
energy above the most stable polymorph in this dataset = 37 kJ/mol of formula units

***

Entry 2:
The following is a PBE calculation of a relaxed Cr2FeNi6 crystal, from Alexandria.

Cell: 3.5132 7.5312 7.5312 Å, 90.00 90.00 90.00°
Sites, in units of the cell vectors:
Cr  0.0000  0.6662  0.1662
Cr  0.0000  0.3338  0.8338
Cr  0.5000  0.8338  0.6662
Cr  0.5000  0.1662  0.3338
Ni  0.0000  0.0021  0.8314
Ni  0.0000  0.3314  0.5021
Ni  0.0000  0.3342  0.1658
Ni  0.5000  0.4979  0.3314
Ni  0.5000  0.1686  0.0021
Ni  0.5000  0.8342  0.3342
Ni  0.0000  0.9979  0.1686
Ni  0.5000  0.8314  0.9979
Ni  0.0000  0.6658  0.8342
Ni  0.5000  0.1658  0.6658
Ni  0.0000  0.6686  0.4979
Ni  0.5000  0.5021  0.6686
Fe  0.5000  0.5000  0.0000
Fe  0.0000  0.0000  0.5000

## Properties
N(E_F) = 24.40 states/eV per cell
formation enthalpy at 0 K = -0.010 eV/atom
magnetic moment = 0.27 Bohr magnetons per cell
energy above the most stable polymorph in this dataset = 0 kJ/mol of formula units

***

Entry 3:
The following is a PBE calculation of a relaxed Tm3SiS6 crystal, from Alexandria.

Cell: 6.3652 8.3854 8.3854 Å, 102.22 90.00 90.00°
Sites, in units of the cell vectors:
S  0.1528  0.0452  0.9548
S  0.6867  0.6264  0.6981
S  0.1867  0.6981  0.6264
S  0.1935  0.4290  0.8957
S  0.6528  0.9548  0.0452
S  0.6935  0.8957  0.4290
S  0.6935  0.5710  0.1043
S  0.1867  0.3736  0.3019
S  0.1855  0.7876  0.2124
S  0.1935  0.1043  0.5710
S  0.6855  0.2124  0.7876
S  0.6867  0.3019  0.3736
Si  0.0274  0.2027  0.7973
Si  0.5274  0.7973  0.2027
Tm  0.9858  0.0875  0.2780
Tm  0.4858  0.9125  0.7220
Tm  0.8876  0.5930  0.4070
Tm  0.3876  0.4070  0.5930
Tm  0.9858  0.7220  0.9125
Tm  0.4858  0.2780  0.0875

## Properties
N(E_F) = 6.29 states/eV per cell
E_form (uncorrected) = -1528 kJ/mol of formula units
magnetic moment = 0.00 Bohr magnetons per cell

***

What did the third record say?
The following is a PBE calculation of a relaxed Tm3SiS6 crystal, from Alexandria.

Cell: 6.3652 8.3854 8.3854 Å, 102.22 90.00 90.00°
Sites, in units of the cell vectors:
S  0.1528  0.0452  0.9548
S  0.6867  0.6264  0.6981
S  0.1867  0.6981  0.6264
S  0.1935  0.4290  0.8957
S  0.6528  0.9548  0.0452
S  0.6935  0.8957  0.4290
S  0.6935  0.5710  0.1043
S  0.1867  0.3736  0.3019
S  0.1855  0.7876  0.2124
S  0.1935  0.1043  0.5710
S  0.6855  0.2124  0.7876
S  0.6867  0.3019  0.3736
Si  0.0274  0.2027  0.7973
Si  0.5274  0.7973  0.2027
Tm  0.9858  0.0875  0.2780
Tm  0.4858  0.9125  0.7220
Tm  0.8876  0.5930  0.4070
Tm  0.3876  0.4070  0.5930
Tm  0.9858  0.7220  0.9125
Tm  0.4858  0.2780  0.0875

## Properties
N(E_F) = 6.29 states/eV per cell
E_form (uncorrected) = -1528 kJ/mol of formula units
magnetic moment = 0.00 Bohr magnetons per cell